[1]
## Ca2AlCuAg (PBE)

Data for a relaxed Ca2AlCuAg crystal.

As for the crystal system: tetragonal. The density of states at the Fermi level comes out at 3.7 states/eV/f.u. The value obtained for the formation energy is 4.19 kcal/mol of atoms. The value obtained for the electronic total energy is -2.757 eV per atom.

The space group is P4/mmm (No. 123) and the conventional cell measures 5.3800, 5.3800 and 4.8096 Å, with angles of 90.00, 90.00 and 90.00 degrees. The asymmetric unit holds Ca at (0.0000, 0.5000, 0.0000), Al at (0.0000, 0.0000, 0.5000), Cu at (0.5000, 0.5000, 0.0000) and Ag at (0.5000, 0.5000, 0.5000).

[2]
## CaAl3CuAg (PBE)

Data for a relaxed CaAl3CuAg crystal.

As for the crystal system: orthorhombic. The density of states at the Fermi level comes out at 0.9 states/eV/f.u. The value obtained for the formation energy is -3.60 kcal/mol of atoms. The value obtained for the electronic total energy is -3.519 eV per atom.

The space group is Cmcm (No. 63) and the conventional cell measures 6.1645, 12.8817 and 5.8347 Å, with angles of 90.00, 90.00 and 90.00 degrees. The asymmetric unit holds Ca at (0.0000, 0.2160, 0.2500), Al at (0.0000, 0.3668, 0.7500), Al at (0.2127, 0.0000, 0.0000), Cu at (0.0000, 0.4298, 0.2500) and Ag at (0.0000, 0.1554, 0.7500).

[3]
## Ca2AlCuAg6 (PBE)

Data for a relaxed Ca2AlCuAg6 crystal.

As for the crystal system: triclinic. The density of states at the Fermi level comes out at 3.8 states/eV/f.u. The value obtained for the formation energy is -1.76 kcal/mol of atoms. The value obtained for the electronic total energy is -2.971 eV per atom.

The space group is P-1 (No. 2) and the conventional cell measures 6.5823, 6.6358 and 6.7067 Å, with angles of 63.34, 63.62 and 63.93 degrees. The asymmetric unit holds Ca at (0.1933, 0.1887, 0.1937), Al at (0.5000, 0.5000, 0.5000), Cu at (0.0000, 0.0000, 0.0000), Ag at (0.1622, 0.3244, 0.6362), Ag at (0.3308, 0.6408, 0.1603) and Ag at (0.3573, 0.8351, 0.6754).

Q: The highest electronic total energy belongs to which entry?
A: Ca2AlCuAg